AcTb4Dy4: optimized geometry, PBE.

Unit cell a=6.2771 b=8.9575 c=10.8779 alpha=78.25 beta=89.98 gamma=83.23
Fractional positions:
Ac (0.2504, 0.9999, 0.2502)
Ac (0.7496, 0.0001, 0.7498)
Tb (0.1374, 0.6633, 0.4748)
Tb (0.1378, 0.6608, 0.1380)
Tb (0.1434, 0.6636, 0.8057)
Tb (0.3628, 0.3364, 0.0251)
Tb (0.6372, 0.6636, 0.9749)
Tb (0.8566, 0.3364, 0.1943)
Tb (0.8622, 0.3392, 0.8620)
Tb (0.8626, 0.3367, 0.5252)
Dy (0.2492, 0.0002, 0.9169)
Dy (0.2508, 0.0003, 0.5829)
Dy (0.3567, 0.3366, 0.6938)
Dy (0.3626, 0.3390, 0.3625)
Dy (0.6374, 0.6610, 0.6375)
Dy (0.6433, 0.6634, 0.3062)
Dy (0.7492, 0.9997, 0.4171)
Dy (0.7508, 0.9998, 0.0831)

Summary:
Total magnetic moment (μB per atom): 0.00
Formation enthalpy at 0 K (meV per atom): 18
DOS at the Fermi energy (states/eV/f.u.): 13.78